This record from Alexandria via LeMat-Bulk describes a relaxed structure of LaCoAg2. The functional is PBE.

a = 5.1151 Å, b = 5.1151 Å, c = 5.1151 Å
α = 128.08°, β = 128.08°, γ = 76.49°
Last column: nearest neighbours and their distance in Å.
Element x y z (fractional)
Ag (0.0000, 0.0000, 0.0000)  4 La 3.01, 4 Ag 3.01, 4 Co 3.17
Ag (0.2500, 0.7500, 0.5000)  4 Ag 3.01, 4 Co 3.01, 4 La 3.17
La (0.7500, 0.2500, 0.5000)  8 Ag 3.01-3.17, 4 Co 3.01
Co (0.5000, 0.5000, 0.0000)  8 Ag 3.01-3.17, 4 La 3.01

## Properties
Calculated formation energy: 60 kJ/mol of formula units
Magnetization: 0.0 μB per formula unit
E: -17.11 eV per cell


This record from Alexandria via LeMat-Bulk describes a relaxed structure of Th3Si2Ir3. The functional is PBE.

a = 4.2773 Å, b = 5.7893 Å, c = 14.5119 Å
α = 90.00°, β = 90.00°, γ = 111.68°
Last column: nearest neighbours and their distance in Å.
Element x y z (fractional)
Ir (0.3770, 0.7540, 0.9538)  3 Si 2.45-2.65
Ir (0.3224, 0.6448, 0.2500)  2 Si 2.57
Ir (0.6776, 0.3552, 0.7500)  2 Si 2.57
Ir (0.6230, 0.2460, 0.4538)  3 Si 2.45-2.65
Ir (0.3770, 0.7540, 0.5462)  3 Si 2.45-2.65
Ir (0.6230, 0.2460, 0.0462)  3 Si 2.45-2.65
Si (0.2153, 0.4306, 0.0919)  4 Ir 2.45-2.65
Si (0.7847, 0.5694, 0.9081)  4 Ir 2.45-2.65
Si (0.2153, 0.4306, 0.4081)  4 Ir 2.45-2.65
Si (0.7847, 0.5694, 0.5919)  4 Ir 2.45-2.65
Th (0.0803, 0.1607, 0.8911)  4 Si 3.08-3.26, 7 Ir 3.14-3.32
Th (0.6283, 0.2567, 0.2500)  5 Ir 2.96-3.29, 4 Si 3.27
Th (0.9197, 0.8393, 0.1089)  4 Si 3.08-3.26, 7 Ir 3.14-3.32
Th (0.0803, 0.1607, 0.6089)  4 Si 3.08-3.26, 7 Ir 3.14-3.32
Th (0.3717, 0.7433, 0.7500)  5 Ir 2.96-3.29, 4 Si 3.27
Th (0.9197, 0.8393, 0.3911)  4 Si 3.08-3.26, 7 Ir 3.14-3.32

## Properties
Magnetization: 0.0 μB per formula unit
E_form (uncorrected): -92 kJ per mole of atoms
E: -134.63 eV per cell


Question: Which of these has the lowest E?
Answer: Th3Si2Ir3


Question: Number 2 is which compound?
Answer: Th3Si2Ir3


Question: Which formula does entry 2 have?
Answer: Th3Si2Ir3